DFT (PBE-GGA) results for a geometry-optimized CrAs2 structure.

Output
formation energy from the elements: 1.43 kcal/mol of atoms
SG: I4_1/amd (141)
volume: 17.19 Å³/atom
total magnetic moment: 0.38 μB/atom

Cell: 11.514 11.514 11.514 Å, 164.93 164.93 21.37°
Site moments in Bohr magnetons follow the coordinates.
Atoms (fractional coordinates):
As (0.313, 0.813, 0.500)  -0.03
Cr (0.750, 0.250, 0.500)  1.15
Cr (0.000, 0.000, 0.000)  1.15
As (0.563, 0.563, 0.000)  -0.03
As (0.437, 0.437, 0.000)  -0.03
As (0.187, 0.687, 0.500)  -0.03